[1]
Material: FeAs2Os
Method: DFT, PBE
State: relaxed

Unit cell a=2.812 b=2.812 c=9.789 alpha=90.00 beta=90.00 gamma=118.13
Last column: magnetic moment on the atom in μB.
Sites, in units of the cell vectors:
Fe 0.000 0.000 0.514  2.56
As 0.500 0.500 0.310  -0.03
As 0.000 0.000 0.944  -0.02
Os 0.500 0.500 0.731  0.22

theoretical density = 9.628 Mg/m³
crystal system = orthorhombic
ΔE_f = 359 meV/atom
calculated volume = 17.07 A^3/atom

=====

[2]
Material: Rb2CePa2Se6
Method: DFT, PBE
State: relaxed

Unit cell a=7.333 b=7.333 c=8.599 alpha=97.94 beta=97.94 gamma=120.21
Last column: magnetic moment on the atom in μB.
Sites, in units of the cell vectors:
Rb 0.165 0.835 0.000  0.00
Rb 0.835 0.165 0.000  0.00
Se 0.407 0.062 0.695  -0.03
Se 0.720 0.720 0.697  -0.03
Se 0.593 0.938 0.305  -0.03
Se 0.062 0.407 0.695  -0.03
Se 0.938 0.593 0.305  -0.03
Se 0.280 0.280 0.303  -0.03
Pa 0.335 0.665 0.500  1.21
Pa 0.665 0.335 0.500  1.21
Ce 0.000 0.000 0.500  1.07

theoretical density = 5.392 Mg/m³
crystal system = monoclinic
formation energy without anion corrections = -1.468 eV per atom
calculated volume = 34.91 A^3/atom

=====

[3]
Material: Sc2ZnNi2
Method: DFT, PBE
State: relaxed

Unit cell a=4.914 b=4.914 c=5.002 alpha=60.58 beta=60.58 gamma=90.00
Sites, in units of the cell vectors:
Zn 0.000 0.000 0.000
Ni 0.344 0.344 0.313
Ni 0.656 0.656 0.687
Sc 0.750 0.250 0.500
Sc 0.250 0.750 0.500

theoretical density = 5.213 Mg/m³
crystal system = tetragonal
ΔE_f = -264 meV/atom
calculated volume = 17.37 A^3/atom

=====

[4]
Material: VFe
Method: DFT, PBE
State: relaxed

Unit cell a=7.129 b=7.129 c=4.000 alpha=90.00 beta=90.00 gamma=90.00
Last column: magnetic moment on the atom in μB.
Sites, in units of the cell vectors:
Fe 0.318 0.643 0.500  1.08
Fe 0.818 0.143 0.000  1.08
Fe 0.182 0.857 0.000  1.08
Fe 0.143 0.182 0.000  1.08
Fe 0.857 0.818 0.000  1.08
Fe 0.643 0.682 0.500  1.08
Fe 0.357 0.318 0.500  1.08
Fe 0.682 0.357 0.500  1.08
V 0.307 0.990 0.500  -0.44
V 0.193 0.510 0.000  -0.44
V 0.010 0.307 0.500  -0.44
V 0.990 0.693 0.500  -0.44
V 0.510 0.807 0.000  -0.44
V 0.807 0.490 0.000  -0.44
V 0.693 0.010 0.500  -0.44
V 0.490 0.193 0.000  -0.44

theoretical density = 6.977 Mg/m³
crystal system = tetragonal
ΔE_f = 159 meV/atom
calculated volume = 12.71 A^3/atom

=====

> The highest calculated volume belongs to which entry?

Rb2CePa2Se6

=====

> Among the records above, which one has the highest calculated volume?

Rb2CePa2Se6

=====

> Which of these has the lowest calculated volume?

VFe

=====

> Look up the calculated volume of the fourth one.

12.71 A^3/atom